Lu2PuPt: relaxed, PBE-GGA.

Cell and atoms, written as POSCAR:
```
Lu2PuPt
1.0
1.8392 1.0619 9.3054
-1.8392 1.0619 9.3054
0.0000 -2.1237 9.3054
Lu Pu Pt
2 1 1
Cartesian
0.0000 0.0000 6.4235
0.0000 0.0000 21.4928
0.0000 0.0000 0.0000
0.0000 0.0000 13.9582
```

E = -7.77 eV/atom
ΔH_f (0 K) = -0.42 eV per atom
crystal system = trigonal
distance to the lowest polymorph of the same formula = 3.909 kcal/mol of atoms